An optimized crystal structure of TiCrSn2, computed with GGA-PBE.

```
8
Lattice="-2.742 5.058 2.480 -4.372 -0.171 -4.485 -7.118 -1.258 2.611" Properties=species:S:1:pos:R:3 pbc="T T T"
Cr 0.000 0.000 0.000
Cr -6.708 3.122 2.044
Sn -4.072 2.886 1.672
Sn -4.822 0.151 -1.870
Sn -7.954 0.892 1.260
Sn -11.615 3.331 0.151
Ti -3.557 2.444 -1.002
Ti -7.524 0.508 -1.438
```

Values from the calculation:
The density is 4.54 g/cm³. The formation energy comes out at 3.9 eV/f.u. As for the total energy: -5.417 eV/atom.

An optimized crystal structure of TiCrSn2, computed with GGA-PBE.

```
4
Lattice="0.000 3.299 3.299 3.299 0.000 3.299 3.299 3.299 0.000" Properties=species:S:1:pos:R:3 pbc="T T T"
Cr 3.299 3.299 3.299
Sn 1.650 1.650 1.650
Sn 4.949 4.949 4.949
Ti 0.000 0.000 0.000
```

Values from the calculation:
The density is 7.80 g/cm³. The formation energy comes out at 1.0 eV/f.u. As for the total energy: -6.143 eV/atom.

An optimized crystal structure of TiCrSn, computed with GGA-PBE.

```
3
Lattice="-0.594 -0.508 2.873 0.086 -2.933 -0.501 6.797 1.682 0.160" Properties=species:S:1:pos:R:3 pbc="T T T"
Cr 5.411 -1.754 2.351
Sn 1.688 -0.010 0.347
Ti 3.517 -1.743 1.961
```

Values from the calculation:
The density is 6.13 g/cm³. The formation energy comes out at 2.8 eV/f.u. As for the total energy: -6.257 eV/atom.